The following is a PBE+U calculation of a relaxed structure of SrCoOsO5, from Alexandria.

Lattice parameters (Å, degrees): 5.816 5.816 7.435 103.77 103.77 107.94
Each line ends with the local moment (μB).
Sites, in units of the cell vectors:
Os 0.000 0.000 0.500  -1.20
Os 0.000 0.000 0.000  -1.20
O 0.240 0.349 0.585  -0.03
O 0.286 0.899 0.593  -0.03
O 0.651 0.760 0.915  -0.03
O 0.060 0.940 0.250  -0.06
O 0.760 0.651 0.415  -0.03
O 0.349 0.240 0.085  -0.03
O 0.101 0.714 0.907  -0.03
O 0.899 0.286 0.093  -0.03
O 0.714 0.101 0.407  -0.03
O 0.940 0.060 0.750  -0.06
Co 0.688 0.312 0.250  2.54
Co 0.312 0.688 0.750  2.54
Sr 0.329 0.671 0.250  -0.01
Sr 0.671 0.329 0.750  -0.01

## Properties
**DOS(E_F)**: 6.4 states/eV/cell
**Calculated volume**: 13.7 Å³/atom
**Final energy**: -110.64 eV for the cell shown